[1]
Here is a geometry-optimized Cs2AsPPt structure from the Alexandria database. Energies are from PBE.

Cell: 6.9944 4.3733 6.9944 Å, 90.00 90.00 90.00°
Each line ends with the local moment (μB).
Positions (direct):
As1 0.5000 0.5000 0.5000  0.83
P1 0.0000 0.5000 0.0000  0.02
Cs1 0.5000 0.0000 0.0000  0.02
Cs2 0.0000 0.0000 0.5000  0.01
Pt1 0.0000 0.0000 0.0000  0.00

Calculated values
- crystal system = tetragonal
- symmetry = No. 123
- M_tot (μB per formula unit) = 2.14
- theoretical density (kg/m³) = 4399
- electronic total energy (eV per formula unit) = -18.0
- DOS at the Fermi energy (states/eV per cell) = 4.4

[2]
Here is a geometry-optimized CsAsPRh2 structure from the Alexandria database. Energies are from PBE.

Cell: 4.0089 8.0446 8.0101 Å, 104.17 90.00 90.00°
Positions (direct):
Cs1 0.2500 0.0501 0.7463
Cs2 0.7500 0.9499 0.2537
Rh1 0.7500 0.4998 0.8726
Rh2 0.7500 0.5008 0.3777
Rh3 0.2500 0.4992 0.6223
Rh4 0.2500 0.5002 0.1274
As1 0.7500 0.3182 0.0790
As2 0.2500 0.6818 0.9210
P1 0.2500 0.6561 0.4119
P2 0.7500 0.3439 0.5881

Calculated values
- crystal system = monoclinic
- symmetry = No. 11
- M_tot (μB per formula unit) = 0.00
- theoretical density (kg/m³) = 5895
- electronic total energy (eV per formula unit) = -28.9
- DOS at the Fermi energy (states/eV per cell) = 3.3

[3]
Here is a geometry-optimized CsAsP2S structure from the Alexandria database. Energies are from PBE.

Cell: 5.9438 5.9438 5.3497 Å, 90.00 90.00 90.00°
Each line ends with the local moment (μB).
Positions (direct):
P1 0.0000 0.5000 0.0000  0.63
P2 0.5000 0.0000 0.0000  0.63
As1 0.5000 0.5000 0.5000  -0.94
S1 0.0000 0.0000 0.5000  0.08
Cs1 0.0000 0.0000 0.0000  0.00

Calculated values
- distance to the lowest polymorph of the same formula (meV per atom) = 1608
- crystal system = tetragonal
- symmetry = No. 123
- M_tot (μB per formula unit) = 0.99
- theoretical density (kg/m³) = 2652
- DOS at the Fermi energy (states/eV per cell) = 2.2
- raw formation energy (meV per atom) = 2035

[4]
Here is a geometry-optimized CsAs2P2S6 structure from the Alexandria database. Energies are from PBE.

Cell: 6.7256 10.1278 12.6769 Å, 145.35 121.42 48.75°
Positions (direct):
P1 0.1472 0.3752 0.0241
P2 0.8528 0.6248 0.9759
Cs1 0.5000 0.0000 0.5000
S1 0.1812 0.6033 0.2900
S2 0.8188 0.3967 0.7100
S3 0.5021 0.1013 0.8647
S4 0.4979 0.8987 0.1353
S5 0.9810 0.8974 0.1366
S6 0.0190 0.1026 0.8634
As1 0.1623 0.7852 0.9457
As2 0.8377 0.2148 0.0543

Calculated values
- crystal system = triclinic
- symmetry = No. 2
- M_tot (μB per formula unit) = 0.00
- theoretical density (kg/m³) = 2419
- DOS at the Fermi energy (states/eV per cell) = 0.8
- raw formation energy (meV per atom) = -313

[5]
Here is a geometry-optimized CsAsP2S structure from the Alexandria database. Energies are from PBE.

Cell: 4.9640 4.9640 5.2931 Å, 90.00 90.00 90.00°
Each line ends with the local moment (μB).
Positions (direct):
P1 0.0000 0.5000 0.0000  0.32
P2 0.5000 0.0000 0.0000  0.32
S1 0.0000 0.0000 0.5000  0.22
As1 0.0000 0.0000 0.0000  -0.02
Cs1 0.5000 0.5000 0.5000  0.02

Calculated values
- distance to the lowest polymorph of the same formula (meV per atom) = 0
- crystal system = tetragonal
- symmetry = No. 123
- M_tot (μB per formula unit) = 1.75
- theoretical density (kg/m³) = 3843
- DOS at the Fermi energy (states/eV per cell) = 3.7
- raw formation energy (meV per atom) = 427

[6]
Here is a geometry-optimized Cs5AsP4Se12 structure from the Alexandria database. Energies are from PBE.

Cell: 14.3096 14.3096 7.7640 Å, 90.00 90.00 90.00°
Positions (direct):
Cs1 0.6863 0.6601 0.5000
Cs2 0.0000 0.0000 0.0000
Cs3 0.9702 0.6821 0.0000
Cs4 0.3179 0.9702 0.5000
Cs5 0.6821 0.0298 0.5000
Cs6 0.3137 0.3399 0.5000
Cs7 0.3399 0.6863 0.0000
Cs8 0.0000 0.0000 0.5000
Cs9 0.0298 0.3179 0.0000
Cs10 0.6601 0.3137 0.0000
P1 0.3933 0.1980 0.0000
P2 0.1134 0.7438 0.5000
P3 0.8866 0.2562 0.5000
P4 0.6067 0.8020 0.0000
P5 0.2562 0.1134 0.0000
P6 0.8020 0.3933 0.5000
P7 0.1980 0.6067 0.5000
P8 0.7438 0.8866 0.0000
Se1 0.1496 0.8190 0.7363
Se2 0.5287 0.8569 0.2286
Se3 0.3717 0.3463 0.0000
Se4 0.8504 0.1810 0.2637
Se5 0.8190 0.8504 0.2363
Se6 0.9668 0.6889 0.5000
Se7 0.8190 0.8504 0.7637
Se8 0.8504 0.1810 0.7363
Se9 0.0332 0.3111 0.5000
Se10 0.6537 0.3717 0.5000
Se11 0.1431 0.5287 0.7286
Se12 0.1496 0.8190 0.2637
Se13 0.1810 0.1496 0.2363
Se14 0.8569 0.4713 0.2714
Se15 0.4713 0.1431 0.7714
Se16 0.1810 0.1496 0.7637
Se17 0.3111 0.9668 0.0000
Se18 0.8569 0.4713 0.7286
Se19 0.6889 0.0332 0.0000
Se20 0.3463 0.6283 0.5000
Se21 0.1431 0.5287 0.2714
Se22 0.5287 0.8569 0.7714
Se23 0.6283 0.6537 0.0000
Se24 0.4713 0.1431 0.2286
As1 0.5000 0.0000 0.0000
As2 0.0000 0.5000 0.5000

Calculated values
- crystal system = tetragonal
- symmetry = No. 84
- M_tot (μB per formula unit) = 0.00
- theoretical density (kg/m³) = 3783
- raw formation energy (meV per atom) = -645

[7]
Here is a geometry-optimized CsAs2PSe structure from the Alexandria database. Energies are from PBE.

Cell: 5.0143 5.0143 5.3212 Å, 90.00 90.00 90.00°
Each line ends with the local moment (μB).
Positions (direct):
Cs1 0.5000 0.5000 0.5000  0.01
As1 0.0000 0.5000 0.0000  0.13
As2 0.5000 0.0000 0.0000  0.13
P1 0.0000 0.0000 0.0000  0.00
Se1 0.0000 0.0000 0.5000  0.08

Calculated values
- distance to the lowest polymorph of the same formula (meV per atom) = 0
- crystal system = tetragonal
- symmetry = No. 123
- M_tot (μB per formula unit) = 0.71
- theoretical density (kg/m³) = 4874
- DOS at the Fermi energy (states/eV per cell) = 5.2
- raw formation energy (meV per atom) = 243

[8]
Here is a geometry-optimized Cs3AsP3Se9 structure from the Alexandria database. Energies are from PBE.

Cell: 8.3565 13.5365 20.3582 Å, 77.87 90.00 90.00°
Positions (direct):
Se1 0.7447 0.9391 0.4089
Se2 0.9678 0.9236 0.7472
Se3 0.5477 0.1985 0.4095
Se4 0.7411 0.0476 0.5937
Se5 0.2187 0.1533 0.7495
Se6 0.2740 0.4488 0.9152
Se7 0.2447 0.5609 0.5911
Se8 0.7740 0.0512 0.0848
Se9 0.7693 0.1548 0.7474
Se10 0.2589 0.9524 0.4063
Se11 0.2550 0.0587 0.0667
Se12 0.7260 0.5512 0.0848
Se13 0.7450 0.9413 0.9333
Se14 0.7813 0.8467 0.2505
Se15 0.7550 0.4413 0.9333
Se16 0.7553 0.4391 0.4089
Se17 0.5286 0.3133 0.0836
Se18 0.2411 0.4524 0.4063
Se19 0.4678 0.5764 0.2528
Se20 0.7589 0.5476 0.5937
Se21 0.7187 0.3467 0.2505
Se22 0.9523 0.6985 0.4095
Se23 0.5322 0.4236 0.7472
Se24 0.4523 0.8015 0.5905
Se25 0.9714 0.8133 0.0836
Se26 0.0477 0.3015 0.5905
Se27 0.2260 0.9488 0.9152
Se28 0.2693 0.3452 0.2526
Se29 0.0322 0.0764 0.2528
Se30 0.7307 0.6548 0.7474
Se31 0.2450 0.5587 0.0667
Se32 0.0286 0.1867 0.9164
Se33 0.2813 0.6533 0.7495
Se34 0.4714 0.6867 0.9164
Se35 0.2307 0.8452 0.2526
Se36 0.2553 0.0609 0.5911
P1 0.8864 0.9574 0.0200
P2 0.1136 0.0426 0.9800
P3 0.8868 0.8479 0.3560
P4 0.3868 0.6521 0.6440
P5 0.8819 0.0659 0.6778
P6 0.3819 0.4341 0.3222
P7 0.6132 0.3479 0.3560
P8 0.6136 0.4574 0.0200
P9 0.6181 0.5659 0.6778
P10 0.3864 0.5426 0.9800
P11 0.1181 0.9341 0.3222
P12 0.1132 0.1521 0.6440
As1 0.9978 0.9424 0.1758
As2 0.0022 0.0576 0.8242
As3 0.5022 0.4424 0.1758
As4 0.4978 0.5576 0.8242
Cs1 0.4717 0.9168 0.7365
Cs2 0.0283 0.4168 0.7365
Cs3 0.9717 0.5832 0.2635
Cs4 0.9802 0.8130 0.5633
Cs5 0.5198 0.3130 0.5633
Cs6 0.5283 0.0832 0.2635
Cs7 0.0359 0.3058 0.0725
Cs8 0.9641 0.6942 0.9275
Cs9 0.0198 0.1870 0.4367
Cs10 0.5359 0.1942 0.9275
Cs11 0.4641 0.8058 0.0725
Cs12 0.4802 0.6870 0.4367

Calculated values
- crystal system = monoclinic
- symmetry = No. 14
- M_tot (μB per formula unit) = 0.00
- theoretical density (kg/m³) = 3768
- DOS at the Fermi energy (states/eV per cell) = 0.0
- raw formation energy (meV per atom) = -564

Q: Which formula does entry 3 have?
A: CsAsP2S

Q: The highest theoretical density belongs to which entry?
A: CsAsPRh2

Q: Among the records above, which one has the lowest theoretical density?
A: CsAs2P2S6